Er2Pa2Tc3: relaxed, GGA-PBE.

Unit cell a=3.492 b=6.984 c=7.228 alpha=103.65 beta=103.89 gamma=104.47
Space group P-1 (No. 2)
Symmetry-distinct sites (fractional):
Er (0.182, 0.082, 0.285) (multiplicity 2)
Pa (0.404, 0.585, 0.225) (multiplicity 2)
Tc (0.000, 0.500, 0.500) (multiplicity 1)
Tc (0.373, 0.764, 0.982) (multiplicity 2)

## Properties
Calculated formation energy: -0.25 eV per atom
Total energy: -8.712 eV per atom
Spin magnetization: 0.0 μB per cell
Polymorph energy (0 for the lowest one): 0 kJ/mol of formula units
Crystal system: triclinic



ErPa2Tc: relaxed, GGA-PBE.

Unit cell a=4.7691 b=4.7691 c=14.2569 alpha=90.00 beta=90.00 gamma=120.00
Space group R-3m (No. 166, hexagonal axes)
Symmetry-distinct sites (fractional):
Er (0.0000, 0.0000, 0.0000) (multiplicity 3)
Pa (0.0000, 0.0000, 0.2403) (multiplicity 6)
Tc (0.0000, 0.0000, 0.5000) (multiplicity 3)

## Properties
Calculated formation energy: 0.26 eV per atom
Total energy: -8.218 eV per atom
Spin magnetization: 0.0 μB per cell
Polymorph energy (0 for the lowest one): 78 kJ/mol of formula units
Crystal system: trigonal



ErPaTc2: relaxed, GGA-PBE.

Unit cell a=3.416 b=3.416 c=6.889 alpha=90.00 beta=90.00 gamma=90.00
Space group P4/mmm (No. 123)
Symmetry-distinct sites (fractional):
Er (0.000, 0.000, 0.000) (multiplicity 1)
Pa (0.000, 0.000, 0.500) (multiplicity 1)
Tc (0.500, 0.500, 0.278) (multiplicity 2)

## Properties
Calculated formation energy: -0.24 eV per atom
Total energy: -8.939 eV per atom
Spin magnetization: 0.0 μB per cell
Polymorph energy (0 for the lowest one): 0 kJ/mol of formula units
Crystal system: tetragonal



Er2PaTc: relaxed, GGA-PBE.

Unit cell a=3.2411 b=3.2411 c=32.0277 alpha=90.00 beta=90.00 gamma=120.00
Space group R-3m (No. 166, hexagonal axes)
Symmetry-distinct sites (fractional):
Er (0.0000, 0.0000, 0.1014) (multiplicity 6)
Pa (0.0000, 0.0000, 0.0000) (multiplicity 3)
Tc (0.0000, 0.0000, 0.5000) (multiplicity 3)

## Properties
Calculated formation energy: 0.32 eV per atom
Total energy: -6.929 eV per atom
Spin magnetization: 0.0 μB per cell
Polymorph energy (0 for the lowest one): 197 kJ/mol of formula units
Crystal system: trigonal



Er2PaTc2: relaxed, GGA-PBE.

Unit cell a=9.967 b=5.821 c=8.027 alpha=90.00 beta=101.61 gamma=90.00
Space group C2/c (No. 15)
Symmetry-distinct sites (fractional):
Er (0.152, 0.127, 0.149) (multiplicity 8)
Pa (0.000, 0.376, 0.750) (multiplicity 4)
Tc (0.131, 0.366, 0.513) (multiplicity 8)

## Properties
Calculated formation energy: -0.27 eV per atom
Total energy: -8.139 eV per atom
Spin magnetization: 0.0 μB per cell
Crystal system: monoclinic



Er2Pa2Tc3: relaxed, GGA-PBE.

Unit cell a=7.844 b=4.805 c=8.846 alpha=90.00 beta=109.53 gamma=90.00
Space group C2/m (No. 12)
Symmetry-distinct sites (fractional):
Er (0.130, 0.000, 0.384) (multiplicity 4)
Pa (0.117, 0.500, 0.859) (multiplicity 4)
Tc (0.000, 0.000, 0.000) (multiplicity 2)
Tc (0.227, 0.500, 0.218) (multiplicity 4)

## Properties
Calculated formation energy: -0.21 eV per atom
Total energy: -8.669 eV per atom
Spin magnetization: 0.0 μB per cell
Polymorph energy (0 for the lowest one): 29 kJ/mol of formula units
Crystal system: monoclinic